The following is a DFT calculation (PBE-GGA) of Pr5InHg2 after structural relaxation. Values from VASP.

Computed properties:
crystal system: tetragonal
volume: 506.9 Å³/cell
E_form: -0.33 eV/atom
symmetry: I4/mcm, No. 140
VASP energy: -3.736 eV/atom

Geometry as Quantum ESPRESSO input:
```
&SYSTEM
  ibrav = 0, nat = 16, ntyp = 3
/
ATOMIC_SPECIES
Pr 140.91 Pr.upf
In 114.82 In.upf
Hg 200.59 Hg.upf
ATOMIC_POSITIONS angstrom
Pr -1.5374 -4.3235 4.0672
Pr -7.4761 -4.7513 1.5565
Pr 0.0000 0.0000 0.0000
Pr -5.4384 -1.8511 0.0339
Pr 3.3365 -0.7946 5.0828
Pr -0.8625 -0.5488 6.0459
Pr 2.6616 -4.5694 3.1041
Pr -3.2771 -4.9972 0.5933
Pr -6.8012 -0.9766 3.5352
Pr -2.6022 -1.2224 2.5721
In -4.7890 -3.6985 3.3366
In 0.6494 -1.8474 3.3027
Hg -2.3477 -2.0296 -0.6736
Hg -4.9445 0.9270 1.4907
Hg -5.9323 -4.6293 -1.4230
Hg -8.5291 -1.6727 0.7414
CELL_PARAMETERS angstrom
-7.0144 2.8325 2.9636
-3.8624 -6.5348 -2.8959
6.7372 -1.8436 6.5716
```

=====

The following is a DFT calculation (PBE-GGA) of SrCeHgPt after structural relaxation. Values from VASP.

Computed properties:
crystal system: cubic
volume: 105.3 Å³/cell
E_form: -0.57 eV/atom
symmetry: F-43m, No. 216
VASP energy: -4.057 eV/atom

Geometry as Quantum ESPRESSO input:
```
&SYSTEM
  ibrav = 0, nat = 4, ntyp = 4
/
ATOMIC_SPECIES
Sr 87.62 Sr.upf
Ce 140.12 Ce.upf
Hg 200.59 Hg.upf
Pt 195.08 Pt.upf
ATOMIC_POSITIONS angstrom
Sr 5.3002 3.0601 2.1638
Ce 0.0000 0.0000 0.0000
Hg 2.6501 1.5300 1.0819
Pt 7.9502 4.5901 3.2457
CELL_PARAMETERS angstrom
5.3002 0.0000 0.0000
2.6501 4.5901 0.0000
2.6501 1.5300 4.3276
```

=====

The following is a DFT calculation (PBE-GGA) of Co4TeBr after structural relaxation. Values from VASP.

Computed properties:
crystal system: cubic
formation energy without anion corrections: 688.5 meV per atom
volume: 93.5 Å³/cell
symmetry: F-43m, No. 216
VASP energy: -4.851 eV/atom

Geometry as Quantum ESPRESSO input:
```
&SYSTEM
  ibrav = 0, nat = 6, ntyp = 3
/
ATOMIC_SPECIES
Co 58.93 Co.upf
Te 127.60 Te.upf
Br 79.90 Br.upf
ATOMIC_POSITIONS angstrom
Co -5.9021 -3.5985 0.1397
Co -4.6294 -4.8620 -1.6533
Co -5.9222 -2.7650 -2.2553
Co -3.8040 -2.5952 -0.8713
Te -7.5967 -5.1827 -1.7401
Br 0.0000 0.0000 0.0000
CELL_PARAMETERS angstrom
-4.2151 -2.0155 2.0311
-4.2554 -0.3410 -2.7803
-1.6583 -4.5538 -1.5709
```

=====

The following is a DFT calculation (PBE-GGA) of Tl2H2Se2O after structural relaxation. Values from VASP.

Computed properties:
crystal system: orthorhombic
volume: 155.8 Å³/cell
symmetry: Immm, No. 71
VASP energy: -3.731 eV/atom

Geometry as Quantum ESPRESSO input:
```
&SYSTEM
  ibrav = 0, nat = 7, ntyp = 4
/
ATOMIC_SPECIES
Tl 204.38 Tl.upf
H 1.01 H.upf
Se 78.96 Se.upf
O 16.00 O.upf
ATOMIC_POSITIONS angstrom
Tl 3.0469 0.9033 5.3800
Tl 3.1811 -3.2053 4.3259
H 5.9558 -1.1780 5.3010
H 0.2722 -1.1241 4.4048
Se 2.2598 -0.5856 2.5364
Se 3.9681 -1.7164 7.1695
O 0.0000 0.0000 0.0000
CELL_PARAMETERS angstrom
-0.6815 -1.1140 4.2547
3.5943 -5.0046 1.5932
3.3152 3.8165 3.8580
```